Entry 1:
Below is crystalline FeTc2Ru at its relaxed geometry, with properties calculated at the PBE-GGA level.

Cell: 4.2644 4.2644 4.2644 Å, 60.00 60.00 60.00°
Last column: nearest neighbours and their distance in Å.
Sites, in units of the cell vectors:
Ru  0.5000  0.5000  0.5000  8 Tc 2.61
Tc  0.2500  0.2500  0.2500  4 Ru 2.61, 4 Fe 2.61
Tc  0.7500  0.7500  0.7500  4 Ru 2.61, 4 Fe 2.61
Fe  0.0000  0.0000  0.0000  8 Tc 2.61

**E**: -9.15 eV/atom
**Energy of formation**: 0.468 eV/atom

Entry 2:
Below is crystalline NaTbIrO6 at its relaxed geometry, with properties calculated at the PBE-GGA level.

Cell: 5.6184 5.6184 9.4452 Å, 90.00 90.00 120.00°
Last column: nearest neighbours and their distance in Å.
Sites, in units of the cell vectors:
Na  0.0000  0.0000  0.0000  6 O 2.45
Na  0.0000  0.0000  0.5000  6 O 2.45
Tb  0.3333  0.6667  0.2500  6 O 2.27
Tb  0.6667  0.3333  0.7500  6 O 2.27
Ir  0.6667  0.3333  0.2500  6 O 1.90
Ir  0.3333  0.6667  0.7500  6 O 1.90
O  0.6561  0.6069  0.1367  1 Ir 1.90
O  0.9509  0.3439  0.1367  1 Ir 1.90
O  0.3439  0.9509  0.6367  1 Ir 1.90
O  0.0491  0.6561  0.8633  1 Ir 1.90
O  0.3931  0.3439  0.3633  1 Ir 1.90
O  0.9509  0.6069  0.3633  1 Ir 1.90
O  0.6069  0.9509  0.8633  1 Ir 1.90
O  0.6561  0.0491  0.3633  1 Ir 1.90
O  0.0491  0.3931  0.6367  1 Ir 1.90
O  0.3931  0.0491  0.1367  1 Ir 1.90
O  0.6069  0.6561  0.6367  1 Ir 1.90
O  0.3439  0.3931  0.8633  1 Ir 1.90

**Energy relative to the elements, uncorrected**: -1.431 eV per atom
**E**: -6.38 eV/atom